[1]
Density functional theory data (PBE) for a relaxed HoSbRh crystal.

Cell: 3.810 3.810 5.325 Å, 110.96 110.96 90.00°
Positions (direct):
Sb1 0.278 0.278 0.555
Ho1 0.598 0.598 0.197
Rh1 0.974 0.974 0.948

Results
- DOS(E_F): 1.7 states/eV/cell
- Total magnetization: 0.00 μB/cell
- E_form (uncorrected): -54.0 kJ per mole of atoms
- Symmetry: No. 107

---

[2]
Density functional theory data (PBE) for a relaxed HoSbRh4 crystal.

Cell: 4.690 6.773 7.399 Å, 90.00 108.48 90.00°
Positions (direct):
Ho1 0.609 0.250 0.218
Ho2 0.391 0.750 0.782
Rh1 0.239 0.071 0.477
Rh2 0.000 0.500 0.000
Rh3 0.422 0.250 0.844
Rh4 0.239 0.429 0.477
Rh5 0.761 0.929 0.523
Rh6 0.761 0.571 0.523
Rh7 0.000 0.000 0.000
Rh8 0.578 0.750 0.156
Sb1 0.145 0.750 0.290
Sb2 0.855 0.250 0.710

Results
- DOS(E_F): 7.5 states/eV/cell
- Total magnetization: 0.00 μB/cell
- E_form (uncorrected): -29.0 kJ per mole of atoms
- Polymorph energy (0 for the lowest one): 0.1185 eV per atom
- Symmetry: No. 63

---

[3]
Density functional theory data (PBE) for a relaxed HoSbRh crystal.

Cell: 4.562 7.822 7.137 Å, 90.00 90.00 90.00°
Positions (direct):
Ho1 0.250 0.701 0.009
Ho2 0.250 0.799 0.509
Ho3 0.750 0.201 0.491
Ho4 0.750 0.299 0.991
Sb1 0.250 0.409 0.693
Sb2 0.750 0.909 0.807
Sb3 0.250 0.091 0.193
Sb4 0.750 0.591 0.307
Rh1 0.250 0.418 0.302
Rh2 0.750 0.582 0.698
Rh3 0.750 0.918 0.198
Rh4 0.250 0.082 0.802

Results
- DOS(E_F): 6.7 states/eV/cell
- Total magnetization: 0.00 μB/cell
- E_form (uncorrected): -96.8 kJ per mole of atoms
- Symmetry: No. 62

---

[4]
Density functional theory data (PBE) for a relaxed Ho4Sb2Rh crystal.

Cell: 4.381 8.611 7.915 Å, 136.81 106.07 90.00°
Positions (direct):
Ho1 0.335 0.727 0.671
Ho2 0.931 0.214 0.862
Ho3 0.069 0.786 0.138
Ho4 0.665 0.273 0.329
Sb1 0.344 0.351 0.688
Sb2 0.656 0.649 0.312
Rh1 0.000 0.000 0.000

Results
- DOS(E_F): 3.8 states/eV/cell
- Total magnetization: 0.00 μB/cell
- E_form (uncorrected): -78.4 kJ per mole of atoms
- Symmetry: No. 12

---

Number 1: DFT total energy -0.4344 Ry/atom. Number 2: DFT total energy -0.4889 Ry/atom. Number 3: DFT total energy -0.4670 Ry/atom. Number 4: DFT total energy -0.4157 Ry/atom.